DFT (PBE-GGA) results for a geometry-optimized Li12InHg6 structure.

The structure in POSCAR format:
```
Li12InHg6
1.0
7.260 0.028 -2.282
-3.117 6.557 -2.282
0.017 0.028 7.611
Li Hg In
12 6 1
Direct
0.828 0.280 0.117
0.117 0.828 0.280
0.185 0.587 0.474
0.474 0.185 0.587
0.587 0.474 0.185
0.526 0.815 0.413
0.720 0.883 0.172
0.172 0.720 0.883
0.280 0.117 0.828
0.815 0.413 0.526
0.883 0.172 0.720
0.413 0.526 0.815
0.914 0.791 0.530
0.209 0.470 0.086
0.470 0.086 0.209
0.086 0.209 0.470
0.530 0.914 0.791
0.791 0.530 0.914
0.000 0.000 0.000
```

Results
The total energy comes out at -32.2 eV for the cell shown. As for the space group: No. 148.

DFT (PBE-GGA) results for a geometry-optimized TaHg2Pt structure.

The structure in POSCAR format:
```
TaHg2Pt
1.0
6.347 0.511 0.192
3.317 5.435 -0.192
-4.145 -4.089 2.584
Hg Ta Pt
2 1 1
Direct
0.033 0.033 0.000
0.728 0.228 0.500
0.273 0.773 0.500
0.467 0.467 0.000
```

Results
The total energy comes out at -17.8 eV for the cell shown. As for the space group: No. 44.